1.
MgTiGa: optimized geometry, PBE-GGA.

Output
Raw total energy = -4.284 eV/atom
Mass density = 4.49 g cm⁻³
N(E_F) = 2.04 states/eV per cell

a b c (Å): 3.025 4.477 4.477
angles (deg): 120.00 90.00 90.00
Positions (direct):
Mg: 0.833 0.000 0.000
Ga: 0.833 0.667 0.333
Ti: 0.334 0.333 0.667

---

2.
Mg2Ti2Ga: optimized geometry, PBE-GGA.

Output
Raw total energy = -4.145 eV/atom
Excess energy over the best structure of this formula in the dataset = 0.00 eV/f.u.
Mass density = 3.77 g cm⁻³
N(E_F) = 7.26 states/eV per cell

a b c (Å): 6.718 6.718 4.181
angles (deg): 90.00 90.00 90.00
Positions (direct):
Mg: 0.358 0.858 0.000
Mg: 0.858 0.642 0.000
Mg: 0.642 0.142 0.000
Mg: 0.142 0.358 0.000
Ga: 0.000 0.000 0.000
Ga: 0.500 0.500 0.000
Ti: 0.157 0.657 0.500
Ti: 0.657 0.843 0.500
Ti: 0.843 0.343 0.500
Ti: 0.343 0.157 0.500

---

3.
MgTi2Ga: optimized geometry, PBE-GGA.

Output
Raw total energy = -4.870 eV/atom
Mass density = 4.27 g cm⁻³
N(E_F) = 9.72 states/eV per cell

a b c (Å): 7.420 7.420 5.893
angles (deg): 50.98 50.98 90.00
Positions (direct):
Mg: 0.500 0.500 0.000
Mg: 0.250 0.750 0.500
Ga: 0.000 0.000 0.000
Ga: 0.750 0.250 0.500
Ti: 0.644 0.125 0.250
Ti: 0.106 0.625 0.250
Ti: 0.375 0.356 0.750
Ti: 0.875 0.894 0.750

---

4.
Mg2TiGa2: optimized geometry, PBE-GGA.

Output
Raw total energy = -3.478 eV/atom
Excess energy over the best structure of this formula in the dataset = 0.00 eV/f.u.
Mass density = 4.23 g cm⁻³
N(E_F) = 7.06 states/eV per cell

a b c (Å): 7.444 7.444 3.340
angles (deg): 90.00 90.00 90.00
Positions (direct):
Mg: 0.169 0.669 0.500
Mg: 0.669 0.831 0.500
Mg: 0.831 0.331 0.500
Mg: 0.331 0.169 0.500
Ga: 0.367 0.867 0.000
Ga: 0.867 0.633 0.000
Ga: 0.633 0.133 0.000
Ga: 0.133 0.367 0.000
Ti: 0.000 0.000 0.000
Ti: 0.500 0.500 0.000

---

5.
MgTiGa2: optimized geometry, PBE-GGA.

Output
Raw total energy = -4.142 eV/atom
Mass density = 5.14 g cm⁻³
N(E_F) = 2.00 states/eV per cell

a b c (Å): 2.927 2.927 7.989
angles (deg): 90.00 90.00 90.00
Positions (direct):
Mg: 0.500 0.500 0.500
Ga: 0.000 0.000 0.765
Ga: 0.000 0.000 0.235
Ti: 0.500 0.500 0.000

---

6.
Mg2Ti2Ga: optimized geometry, PBE-GGA.

Output
Raw total energy = -4.080 eV/atom
Excess energy over the best structure of this formula in the dataset = 0.32 eV/f.u.
Mass density = 3.41 g cm⁻³
N(E_F) = 4.65 states/eV per cell

a b c (Å): 3.595 3.595 8.454
angles (deg): 77.72 77.72 90.00
Positions (direct):
Mg: 0.405 0.405 0.191
Mg: 0.595 0.595 0.809
Ga: 0.000 0.000 0.000
Ti: 0.750 0.250 0.500
Ti: 0.250 0.750 0.500

---

7.
MgTiGa2: optimized geometry, PBE-GGA.

Output
Raw total energy = -4.202 eV/atom
Mass density = 5.31 g cm⁻³
N(E_F) = 1.78 states/eV per cell

a b c (Å): 3.923 4.105 4.105
angles (deg): 90.00 90.00 90.00
Positions (direct):
Mg: 0.500 0.500 0.500
Ga: 0.000 0.000 0.500
Ga: 0.000 0.500 0.000
Ti: 0.500 0.000 0.000

---

8.
MgZrTiGa2: optimized geometry, PBE-GGA.

Output
Raw total energy = -4.388 eV/atom
Mass density = 4.21 g cm⁻³
N(E_F) = 4.14 states/eV per cell

a b c (Å): 5.003 4.776 5.003
angles (deg): 90.00 90.00 90.00
Positions (direct):
Mg: 0.500 0.500 0.500
Ga: 0.000 0.000 0.500
Ga: 0.500 0.000 0.000
Zr: 0.000 0.500 0.000
Ti: 0.000 0.000 0.000

---

9.
Mg12Tl2Ga5: optimized geometry, PBE-GGA.

Output
Raw total energy = -2.056 eV/atom
Mass density = 3.91 g cm⁻³
N(E_F) = 8.39 states/eV per cell

a b c (Å): 6.221 8.419 9.373
angles (deg): 101.69 90.00 111.68
Positions (direct):
Mg: 0.126 0.251 0.335
Mg: 0.057 0.603 0.880
Mg: 0.545 0.603 0.880
Mg: 0.110 0.712 0.381
Mg: 0.603 0.712 0.381
Mg: 0.475 0.950 0.671
Mg: 0.525 0.050 0.329
Mg: 0.890 0.288 0.619
Mg: 0.397 0.288 0.619
Mg: 0.943 0.397 0.120
Mg: 0.455 0.397 0.120
Mg: 0.874 0.749 0.665
Tl: 0.754 0.000 0.000
Tl: 0.246 0.000 0.000
Ga: 0.293 0.587 0.606
Ga: 0.355 0.709 0.133
Ga: 0.000 0.000 0.500
Ga: 0.645 0.291 0.867
Ga: 0.707 0.413 0.394

---

10.
Mg7Tl4Ga: optimized geometry, PBE-GGA.

Output
Raw total energy = -1.911 eV/atom
Mass density = 5.74 g cm⁻³
N(E_F) = 5.33 states/eV per cell

a b c (Å): 5.406 10.037 6.470
angles (deg): 78.91 65.31 74.38
Positions (direct):
Mg: 0.800 0.930 0.469
Mg: 0.200 0.070 0.531
Mg: 0.077 0.702 0.143
Mg: 0.923 0.298 0.857
Mg: 0.364 0.507 0.765
Mg: 0.500 0.000 0.000
Mg: 0.636 0.493 0.235
Tl: 0.600 0.231 0.569
Tl: 0.400 0.769 0.431
Tl: 0.756 0.681 0.806
Tl: 0.244 0.319 0.194
Ga: 0.000 0.000 0.000

---

11.
Mg7Tl2Ga: optimized geometry, PBE-GGA.

Output
Raw total energy = -1.913 eV/atom
Excess energy over the best structure of this formula in the dataset = 0.00 eV/f.u.
Mass density = 4.49 g cm⁻³
N(E_F) = 3.89 states/eV per cell

a b c (Å): 4.843 4.843 11.803
angles (deg): 90.00 90.00 120.00
Positions (direct):
Mg: 0.333 0.667 0.409
Mg: 0.333 0.667 0.143
Mg: 0.000 0.000 0.237
Mg: 0.000 0.000 0.743
Mg: 0.667 0.333 0.572
Mg: 0.667 0.333 0.034
Mg: 0.333 0.667 0.893
Tl: 0.667 0.333 0.310
Tl: 0.333 0.667 0.652
Ga: 0.000 0.000 0.990

---

12.
MgTl2Ga2: optimized geometry, PBE-GGA.

Output
Raw total energy = -2.299 eV/atom
Excess energy over the best structure of this formula in the dataset = 0.62 eV/f.u.
Mass density = 7.12 g cm⁻³
N(E_F) = 2.63 states/eV per cell

a b c (Å): 4.686 4.686 6.924
angles (deg): 70.22 70.22 90.00
Positions (direct):
Tl: 0.750 0.250 0.500
Tl: 0.250 0.750 0.500
Mg: 0.000 0.000 0.000
Ga: 0.398 0.398 0.203
Ga: 0.602 0.602 0.797

---

13.
Mg2Tl2Ga: optimized geometry, PBE-GGA.

Output
Raw total energy = -2.094 eV/atom
Excess energy over the best structure of this formula in the dataset = 0.30 eV/f.u.
Mass density = 6.93 g cm⁻³
N(E_F) = 4.38 states/eV per cell

a b c (Å): 8.358 8.358 3.617
angles (deg): 90.00 90.00 90.00
Positions (direct):
Tl: 0.352 0.852 0.000
Tl: 0.852 0.648 0.000
Tl: 0.648 0.148 0.000
Tl: 0.148 0.352 0.000
Mg: 0.153 0.653 0.500
Mg: 0.653 0.847 0.500
Mg: 0.847 0.347 0.500
Mg: 0.347 0.153 0.500
Ga: 0.000 0.000 0.000
Ga: 0.500 0.500 0.000